Version i
A geometry-optimized YCuAgB structure, computed with PBE.

CIF file:
```
data_YCuAgB
_chemical_formula_sum 'Y4 Cu4 Ag4 B4'
_cell_length_a 6.383
_cell_length_b 6.383
_cell_length_c 6.383
_cell_angle_alpha 90.00
_cell_angle_beta 90.00
_cell_angle_gamma 90.00
_symmetry_space_group_name_H-M 'F -4 3 m'
_symmetry_Int_Tables_number 216
_symmetry_space_group_name_Hall 'F -4 2 3'
loop_
_atom_site_label
_atom_site_type_symbol
_atom_site_fract_x
_atom_site_fract_y
_atom_site_fract_z
_atom_site_occupancy
Y1 Y 0.000 0.000 0.000 1
Cu1 Cu 0.000 0.000 0.500 1
Ag1 Ag 0.250 0.250 0.750 1
B1 B 0.250 0.250 0.250 1
```

***

Version ii
A geometry-optimized YCuAgB structure, computed with PBE.

CIF file:
```
data_YCuAgB
_chemical_formula_sum 'Y4 Cu4 Ag4 B4'
_cell_length_a 6.373
_cell_length_b 6.373
_cell_length_c 6.373
_cell_angle_alpha 90.00
_cell_angle_beta 90.00
_cell_angle_gamma 90.00
_symmetry_space_group_name_H-M 'F -4 3 m'
_symmetry_Int_Tables_number 216
_symmetry_space_group_name_Hall 'F -4 2 3'
loop_
_atom_site_label
_atom_site_type_symbol
_atom_site_fract_x
_atom_site_fract_y
_atom_site_fract_z
_atom_site_occupancy
Y1 Y 0.000 0.000 0.000 1
Cu1 Cu 0.250 0.250 0.750 1
Ag1 Ag 0.250 0.250 0.250 1
B1 B 0.000 0.000 0.500 1
```

***

Name the most stable of them. version i.

***

Version i
A geometry-optimized DyAgB structure, computed with PBE.

CIF file:
```
data_DyAgB
_chemical_formula_sum 'Dy4 Ag4 B4'
_cell_length_a 6.383
_cell_length_b 6.383
_cell_length_c 6.383
_cell_angle_alpha 90.00
_cell_angle_beta 90.00
_cell_angle_gamma 90.00
_symmetry_space_group_name_H-M 'F -4 3 m'
_symmetry_Int_Tables_number 216
_symmetry_space_group_name_Hall 'F -4 2 3'
loop_
_atom_site_label
_atom_site_type_symbol
_atom_site_fract_x
_atom_site_fract_y
_atom_site_fract_z
_atom_site_occupancy
Dy1 Dy 0.000 0.000 0.000 1
Ag1 Ag 0.250 0.250 0.750 1
B1 B 0.250 0.250 0.250 1
```

***

Version ii
A geometry-optimized DyAgB structure, computed with PBE.

CIF file:
```
data_DyAgB
_chemical_formula_sum 'Dy4 Ag4 B4'
_cell_length_a 6.041
_cell_length_b 6.041
_cell_length_c 6.041
_cell_angle_alpha 90.00
_cell_angle_beta 90.00
_cell_angle_gamma 90.00
_symmetry_space_group_name_H-M 'F -4 3 m'
_symmetry_Int_Tables_number 216
_symmetry_space_group_name_Hall 'F -4 2 3'
loop_
_atom_site_label
_atom_site_type_symbol
_atom_site_fract_x
_atom_site_fract_y
_atom_site_fract_z
_atom_site_occupancy
Dy1 Dy 0.000 0.000 0.000 1
Ag1 Ag 0.000 0.000 0.500 1
B1 B 0.250 0.250 0.750 1
```

***

Name the most stable of them. version ii.

***

Version i
A geometry-optimized ErAgB4 structure, computed with PBE.

CIF file:
```
data_ErAgB4
_chemical_formula_sum 'Er1 Ag1 B4'
_cell_length_a 3.2119
_cell_length_b 3.2119
_cell_length_c 7.2553
_cell_angle_alpha 90.00
_cell_angle_beta 90.00
_cell_angle_gamma 120.00
_symmetry_space_group_name_H-M 'P 6/m m m'
_symmetry_Int_Tables_number 191
_symmetry_space_group_name_Hall '-P 6 2'
loop_
_atom_site_label
_atom_site_type_symbol
_atom_site_fract_x
_atom_site_fract_y
_atom_site_fract_z
_atom_site_occupancy
Er1 Er 0.0000 0.0000 0.0000 1
Ag1 Ag 0.0000 0.0000 0.5000 1
B1 B 0.3333 0.6667 0.2504 1
```

***

Version ii
A geometry-optimized ErAgB4 structure, computed with PBE.

CIF file:
```
data_ErAgB4
_chemical_formula_sum 'Er2 Ag2 B8'
_cell_length_a 3.162
_cell_length_b 5.397
_cell_length_c 7.798
_cell_angle_alpha 90.00
_cell_angle_beta 90.00
_cell_angle_gamma 90.00
_symmetry_space_group_name_H-M 'I m m m'
_symmetry_Int_Tables_number 71
_symmetry_space_group_name_Hall '-I 2 2'
loop_
_atom_site_label
_atom_site_type_symbol
_atom_site_fract_x
_atom_site_fract_y
_atom_site_fract_z
_atom_site_occupancy
Er1 Er 0.000 0.000 0.000 1
Ag1 Ag 0.000 0.000 0.500 1
B1 B 0.000 0.320 0.262 1
```

***

Name the most stable of them. version ii.

***

Version i
A geometry-optimized HfFeAgB structure, computed with PBE.

CIF file:
```
data_HfFeAgB
_chemical_formula_sum 'Hf4 Fe4 Ag4 B4'
_cell_length_a 6.083
_cell_length_b 6.083
_cell_length_c 6.083
_cell_angle_alpha 90.00
_cell_angle_beta 90.00
_cell_angle_gamma 90.00
_symmetry_space_group_name_H-M 'F -4 3 m'
_symmetry_Int_Tables_number 216
_symmetry_space_group_name_Hall 'F -4 2 3'
loop_
_atom_site_label
_atom_site_type_symbol
_atom_site_fract_x
_atom_site_fract_y
_atom_site_fract_z
_atom_site_occupancy
Hf1 Hf 0.000 0.000 0.000 1
Fe1 Fe 0.250 0.250 0.750 1
Ag1 Ag 0.250 0.250 0.250 1
B1 B 0.000 0.000 0.500 1
```

***

Version ii
A geometry-optimized HfFeAgB structure, computed with PBE.

CIF file:
```
data_HfFeAgB
_chemical_formula_sum 'Hf4 Fe4 Ag4 B4'
_cell_length_a 6.123
_cell_length_b 6.123
_cell_length_c 6.123
_cell_angle_alpha 90.00
_cell_angle_beta 90.00
_cell_angle_gamma 90.00
_symmetry_space_group_name_H-M 'F -4 3 m'
_symmetry_Int_Tables_number 216
_symmetry_space_group_name_Hall 'F -4 2 3'
loop_
_atom_site_label
_atom_site_type_symbol
_atom_site_fract_x
_atom_site_fract_y
_atom_site_fract_z
_atom_site_occupancy
Hf1 Hf 0.000 0.000 0.000 1
Fe1 Fe 0.000 0.000 0.500 1
Ag1 Ag 0.250 0.250 0.750 1
B1 B 0.250 0.250 0.250 1
```

***

Name the most stable of them. version ii.